1.
PuSiAu4 (GGA-PBE, optimized geometry); E_form (uncorrected) = -0.245 eV/atom; calculated density = 14.75 g/cm³
1.0
7.691 0.000 0.000
0.000 4.058 0.000
0.000 0.000 7.644
Pu Si Au
2 2 8
Direct
0.250 0.000 0.097
0.750 0.000 0.903
0.250 0.000 0.709
0.750 0.000 0.291
0.000 0.000 0.500
0.060 0.500 0.825
0.250 0.500 0.403
0.440 0.500 0.825
0.500 0.000 0.500
0.560 0.500 0.175
0.750 0.500 0.597
0.940 0.500 0.175

---

2.
Tl2CrC (GGA-PBE, optimized geometry); ΔE_f = 893 meV per atom; calculated density = 8.72 g/cm³
1.0
-4.827 4.827 1.931
4.827 -4.827 1.931
4.827 4.827 -1.931
Tl Cr C
4 2 2
Direct
0.375 0.233 0.358
0.767 0.125 0.142
0.875 0.017 0.642
0.983 0.625 0.858
0.250 0.750 0.500
0.500 0.500 0.000
0.000 0.000 0.000
0.750 0.250 0.500

---

3.
CuSiNi (GGA-PBE, optimized geometry); E_form (uncorrected) = -0.218 eV/atom; calculated density = 6.60 g/cm³
1.0
1.938 1.119 5.812
-1.938 1.119 5.812
0.000 -2.238 5.812
Cu Si Ni
2 2 2
Direct
0.133 0.133 0.133
0.867 0.867 0.867
0.415 0.415 0.415
0.585 0.585 0.585
0.285 0.285 0.285
0.715 0.715 0.715